# 1
Entry from Alexandria: a geometry-optimized RbTe2P structure (GGA-PBEsol).

Cell: 4.038 4.038 10.068 Å, 78.43 78.43 60.00°
Fractional positions:
P1 0.500 0.500 0.500
Te1 0.885 0.885 0.345
Te2 0.115 0.115 0.655
Rb1 0.000 0.000 0.000

Output
Symmetry: R-3m, No. 166
Size of the total moment in μB/f.u.: 0.00
Formation energy from raw total energies in eV/atom: -0.02

***

# 2
Entry from Alexandria: a geometry-optimized La5Ag structure (GGA-PBEsol).

Cell: 3.704 3.704 13.524 Å, 90.00 90.00 90.00°
Fractional positions:
Ag1 0.500 0.500 0.500
La1 0.000 0.000 0.639
La2 0.500 0.500 0.817
La3 0.000 0.000 0.000
La4 0.500 0.500 0.183
La5 0.000 0.000 0.361

Output
Symmetry: P4/mmm, No. 123
Size of the total moment in μB/f.u.: 0.00
E above lowest polymorph in kJ/mol of atoms: 0.0
DFT formation energy in meV per atom: -71

***

# 3
Entry from Alexandria: a geometry-optimized MnCdIr2 structure (GGA-PBEsol).

Cell: 2.744 2.744 7.592 Å, 90.00 90.00 90.00°
Fractional positions:
Cd1 0.500 0.500 0.500
Ir1 0.000 0.000 0.785
Ir2 0.000 0.000 0.215
Mn1 0.500 0.500 0.000

Output
Symmetry: P4/mmm, No. 123
Size of the total moment in μB/f.u.: 0.92
DFT formation energy in meV per atom: 17

***

# 4
Entry from Alexandria: a geometry-optimized MnCu2Ir structure (GGA-PBEsol).

Cell: 2.732 4.452 4.397 Å, 102.20 90.00 107.87°
Fractional positions:
Cu1 0.000 0.999 0.982
Cu2 0.252 0.504 0.771
Ir1 0.498 0.996 0.481
Mn1 0.750 0.500 0.265

Output
Symmetry: Cm, No. 8
Size of the total moment in μB/f.u.: 3.19
DFT formation energy in meV per atom: 122

***

# 5
Entry from Alexandria: a geometry-optimized KOsPb2 structure (GGA-PBEsol).

Cell: 3.085 6.202 6.656 Å, 117.77 103.40 90.00°
Fractional positions:
K1 0.500 0.000 0.000
Os1 0.000 0.500 0.000
Pb1 0.698 0.698 0.397
Pb2 0.302 0.302 0.603

Output
Symmetry: Immm, No. 71
Size of the total moment in μB/f.u.: 0.00
E above lowest polymorph in kJ/mol of atoms: 11.0
DFT formation energy in meV per atom: 640

***

# 6
Entry from Alexandria: a geometry-optimized Cr4Ga6Se15 structure (GGA-PBEsol).

Cell: 6.521 6.521 15.608 Å, 95.05 95.05 119.87°
Fractional positions:
Cr1 0.423 0.423 0.309
Cr2 0.765 0.079 0.310
Cr3 0.079 0.765 0.310
Cr4 0.314 0.314 0.913
Ga1 0.542 0.859 0.550
Ga2 0.859 0.542 0.550
Ga3 0.013 0.348 0.069
Ga4 0.269 0.606 0.754
Ga5 0.348 0.013 0.069
Ga6 0.606 0.269 0.754
Se1 0.128 0.128 0.395
Se2 0.370 0.657 0.030
Se3 0.454 0.790 0.392
Se4 0.657 0.370 0.030
Se5 0.720 0.720 0.225
Se6 0.790 0.454 0.392
Se7 0.900 0.900 0.614
Se8 0.964 0.260 0.800
Se9 0.006 0.006 0.994
Se10 0.052 0.389 0.228
Se11 0.210 0.513 0.594
Se12 0.260 0.964 0.800
Se13 0.389 0.052 0.228
Se14 0.513 0.210 0.594
Se15 0.614 0.614 0.827

Output
Symmetry: Cm, No. 8
Size of the total moment in μB/f.u.: 12.00
Formation energy from raw total energies in eV/atom: -0.47

***

# 7
Entry from Alexandria: a geometry-optimized LaAsF3 structure (GGA-PBEsol).

Cell: 4.436 4.436 4.436 Å, 90.00 90.00 90.00°
Fractional positions:
As1 0.000 0.000 0.000
F1 0.000 0.500 0.000
F2 0.000 0.000 0.500
F3 0.500 0.000 0.000
La1 0.500 0.500 0.500

Output
Symmetry: Pm-3m, No. 221
Size of the total moment in μB/f.u.: 0.27
Formation energy from raw total energies in eV/atom: -1.55

***

# 8
Entry from Alexandria: a geometry-optimized Ta2BeRe structure (GGA-PBEsol).

Cell: 4.202 4.524 4.202 Å, 117.67 90.00 117.67°
Fractional positions:
Re1 0.500 0.000 0.500
Be1 0.000 0.000 0.000
Ta1 0.750 0.500 0.250
Ta2 0.250 0.500 0.750

Output
Symmetry: I4/mmm, No. 139
Size of the total moment in μB/f.u.: 0.00
E above lowest polymorph in kJ/mol of atoms: 0.0
DFT formation energy in meV per atom: 2

***

Computed values of total energy (unit: eV/atom) for the preceding records, in sequence: -3.49 -5.08 -7.63 -6.94 -4.70 -5.22 -4.79 -10.61.
Computed values of calculated volume (unit: A^3/atom) for the preceding records, in sequence: 34.57 30.93 14.29 12.41 27.19 22.66 17.45 15.06.